ScCd4Os | Alexandria | PBE | optimized geometry; final energy = -19.6 eV for the cell shown; DOS at the Fermi energy = 3.4 states/eV/cell; ρ = 9.7 g cm⁻³; formation energy from the elements = 1.7 eV per formula unit
1.0
0.0000 3.8841 3.8841
3.8841 0.0000 3.8841
3.8841 3.8841 0.0000
Sc Cd Os
1 4 1
direct
0.0000 0.0000 0.0000
0.8733 0.3756 0.3756
0.3756 0.3756 0.8733
0.3756 0.8733 0.3756
0.3756 0.3756 0.3756
0.7500 0.7500 0.7500